DFT (PBE) results for crystalline Tl2FeI4 at its relaxed geometry.

Cell lengths 7.247, 7.247, 7.247 Å; angles 108.64, 108.64, 111.14 degrees
Positions (direct):
1 Tl 0.000 0.500 0.500
2 Tl 0.500 0.000 0.500
3 Fe 0.000 0.000 0.000
4 I 0.020 0.371 0.000
5 I 0.371 0.020 0.000
6 I 0.629 0.629 0.649
7 I 0.980 0.980 0.351

Properties
The mass density is 5.5 g cm⁻³. The value obtained for the energy relative to the elements, uncorrected is -0.40 eV/atom. The density of states at the Fermi level comes out at 0.91 states/eV/atom. The value obtained for the total magnetization is 4.00 μB/f.u.